First-principles (GGA-PBE) data for a relaxed structure of YMnSi2, as listed in the Alexandria database.

Values from the calculation:
Electronic total energy = -6.8755 eV per atom

Cell lengths 3.2752, 4.2092, 5.2461 Å; angles 90.00, 90.00, 90.00 degrees
Last column: nearest neighbours and their distance in Å.
Space group Pmmm (No. 47)
Inequivalent atoms, fractional coordinates:
Y  0.0000  0.0000  0.0000 [1 per cell]  8 Si 3.00, 4 Mn 3.09, 2 Y 3.28
Mn  0.5000  0.0000  0.5000 [1 per cell]  4 Si 2.45
Si  0.5000  0.5000  0.2611 [2 per cell]  2 Mn 2.45, 2 Si 2.51-2.74

First-principles (GGA-PBE) data for a relaxed structure of RbGePd2, as listed in the Alexandria database.

Values from the calculation:
Energy of formation from the pure elements = -0.35 eV/atom

Cell lengths 4.2663, 7.0049, 6.8523 Å; angles 90.00, 90.00, 90.00 degrees
Last column: nearest neighbours and their distance in Å.
Space group Pmmn (No. 59, origin choice 2)
Inequivalent atoms, fractional coordinates:
Rb  0.2500  0.2500  0.1172 [2 per cell]  8 Pd 3.55-3.73, 4 Ge 3.98
Ge  0.2500  0.7500  0.3927 [2 per cell]  6 Pd 2.53-2.61
Pd  0.2500  0.0562  0.6104 [4 per cell]  3 Ge 2.53-2.61, 3 Pd 2.72-2.73

First-principles (GGA-PBE) data for a relaxed structure of KUAgI6, as listed in the Alexandria database.

Values from the calculation:
Electronic total energy = -3.5446 eV per atom

Cell lengths 7.8143, 7.8143, 15.8062 Å; angles 90.00, 90.00, 120.00 degrees
Last column: nearest neighbours and their distance in Å.
Space group P-31c (No. 163)
Inequivalent atoms, fractional coordinates:
K  0.0000  0.0000  0.0000 [2 per cell]  6 I 3.58
U  0.3333  0.6667  0.2500 [2 per cell]  6 I 3.03
Ag  0.3333  0.6667  0.7500 [2 per cell]  6 I 3.09
I  0.0058  0.3653  0.1385 [12 per cell]  1 U 3.03, 1 Ag 3.09

First-principles (GGA-PBE) data for a relaxed structure of FeBiI, as listed in the Alexandria database.

Values from the calculation:
Electronic total energy = -4.4885 eV per atom

Cell lengths 14.2668, 4.0642, 6.8491 Å; angles 90.00, 105.51, 90.00 degrees
Last column: nearest neighbours and their distance in Å.
Space group Cm (No. 8)
Inequivalent atoms, fractional coordinates:
Fe  0.0000  0.0000  0.0000 [2 per cell]  2 Fe 2.44, 1 I 2.67, 2 Bi 2.71
Fe  0.0973  0.5000  0.0233 [2 per cell]  2 Fe 2.44, 3 I 2.56-2.73
Bi  0.3879  0.0000  0.8015 [2 per cell]  3 Fe 2.71-2.97, 1 Bi 3.02
Bi  0.4653  0.0000  0.2579 [2 per cell]  3 Fe 2.78-2.82, 1 Bi 3.02
I  0.1294  0.0000  0.7819 [2 per cell]  3 Fe 2.67-2.73
I  0.2440  0.5000  0.3363 [2 per cell]  1 Fe 2.56

First-principles (GGA-PBE) data for a relaxed structure of Li4Pu3SbS8, as listed in the Alexandria database.

Values from the calculation:
Electronic total energy = -6.8048 eV per atom

Cell lengths 7.9293, 7.9293, 18.3434 Å; angles 90.00, 90.00, 120.00 degrees
Last column: nearest neighbours and their distance in Å.
Space group R-3m (No. 166, hexagonal axes)
Inequivalent atoms, fractional coordinates:
Li  0.0000  0.0000  0.0000 [3 per cell]  6 S 2.75
Li  0.0000  0.5000  0.0000 [9 per cell]  6 S 2.74-2.76
Pu  0.0000  0.5000  0.5000 [9 per cell]  6 S 2.75-2.76
Sb  0.0000  0.0000  0.5000 [3 per cell]  6 S 2.76
S  0.0000  0.0000  0.2494 [6 per cell]  3 Pu 2.75, 3 Li 2.76
S  0.0004  0.5002  0.2509 [18 per cell]  3 Li 2.74-2.75, 1 Sb 2.76, 2 Pu 2.76

First-principles (GGA-PBE) data for a relaxed structure of RbSm2S3, as listed in the Alexandria database.

Values from the calculation:
Electronic total energy = -5.6872 eV per atom

Cell lengths 4.0879, 4.0879, 22.0998 Å; angles 90.00, 90.00, 120.00 degrees
Last column: nearest neighbours and their distance in Å.
Space group P6_3/mmc (No. 194)
Inequivalent atoms, fractional coordinates:
Rb  0.0000  0.0000  0.2500 [2 per cell]  6 S 3.33
Sm  0.3333  0.6667  0.0749 [4 per cell]  6 S 2.81-2.88
S  0.0000  0.0000  0.0000 [2 per cell]  6 Sm 2.88
S  0.3333  0.6667  0.6437 [4 per cell]  3 Sm 2.81

First-principles (GGA-PBE) data for a relaxed structure of Ac2Al2In, as listed in the Alexandria database.

Values from the calculation:
Energy of formation from the pure elements = -0.35 eV/atom

Cell lengths 7.6974, 7.6974, 5.0418 Å; angles 90.00, 90.00, 90.00 degrees
Last column: nearest neighbours and their distance in Å.
Space group P4/mbm (No. 127)
Inequivalent atoms, fractional coordinates:
Ac  0.1739  0.3261  0.0000 [4 per cell]  6 Al 3.35-3.43
Al  0.1239  0.6239  0.5000 [4 per cell]  1 Al 2.70
In  0.0000  0.0000  0.5000 [2 per cell]  4 Al 3.05

First-principles (GGA-PBE) data for a relaxed structure of NdYRuAu, as listed in the Alexandria database.

Values from the calculation:
Energy of formation from the pure elements = -0.48 eV/atom

Cell lengths 7.1315, 7.1315, 7.1315 Å; angles 90.00, 90.00, 90.00 degrees
Last column: nearest neighbours and their distance in Å.
Space group F-43m (No. 216)
Inequivalent atoms, fractional coordinates:
Nd  0.0000  0.0000  0.0000 [4 per cell]  4 Ru 3.09, 4 Au 3.09
Y  0.0000  0.0000  0.5000 [4 per cell]  4 Au 3.09, 4 Ru 3.09
Ru  0.2500  0.2500  0.7500 [4 per cell]  4 Y 3.09, 4 Nd 3.09
Au  0.2500  0.2500  0.2500 [4 per cell]  4 Nd 3.09, 4 Y 3.09

First-principles (GGA-PBE) data for a relaxed structure of Rb2LaBe, as listed in the Alexandria database.

Values from the calculation:
Energy of formation from the pure elements = 0.87 eV/atom

Cell lengths 12.8827, 12.8827, 5.4939 Å; angles 90.00, 90.00, 90.00 degrees
Last column: nearest neighbours and their distance in Å.
Space group I-42d (No. 122)
Inequivalent atoms, fractional coordinates:
Rb  0.1110  0.2500  0.1250 [8 per cell]  2 Be 3.59
La  0.0000  0.0000  0.5000 [4 per cell]  2 Be 2.75
Be  0.0000  0.0000  0.0000 [4 per cell]  2 La 2.75

First-principles (GGA-PBE) data for a relaxed structure of Ba2InPdO4, as listed in the Alexandria database.

Values from the calculation:
Electronic total energy = -5.5416 eV per atom

Cell lengths 6.5210, 6.5210, 6.9437 Å; angles 90.00, 90.00, 90.00 degrees
Last column: nearest neighbours and their distance in Å.
Space group I-4 (No. 82)
Inequivalent atoms, fractional coordinates:
Ba  0.0000  0.0000  0.0000 [2 per cell]  4 O 2.77
Ba  0.0000  0.5000  0.2500 [2 per cell]  4 O 2.60
In  0.0000  0.0000  0.5000 [2 per cell]  4 O 2.11
Pd  0.0000  0.5000  0.7500 [2 per cell]  4 O 2.27
O  0.1630  0.2013  0.6834 [8 per cell]  1 In 2.11, 1 Pd 2.27

| no. | theoretical density (g cm⁻³) | M_tot (μB/cell) |
| --- | --- | --- |
| 1 | 4.6 | 2.43 |
| 2 | 6.0 | 0.00 |
| 3 | 4.6 | 4.00 |
| 4 | 6.8 | 10.39 |
| 5 | 5.7 | 45.00 |
| 6 | 5.0 | 0.00 |
| 7 | 6.9 | 0.00 |
| 8 | 9.7 | 0.00 |
| 9 | 2.3 | 0.00 |
| 10 | 6.3 | 2.00 |